# 1
# Cs2OsO5 (PBE, relaxed)
# Formation energy from raw total energies ... -122 kJ/mol of atoms
# Offset from the most stable computed form ... 117.5 meV per atom
# E_tot ... -5.980 eV/atom
data_Cs2OsO5
_space_group_name_H-M_alt 'P 4/m m m'
_space_group_IT_number 123
_space_group_name_Hall '-P 4 2'
_cell_length_a 6.840
_cell_length_b 6.840
_cell_length_c 3.889
_cell_angle_alpha 90.00
_cell_angle_beta 90.00
_cell_angle_gamma 90.00
loop_
_atom_site_label
_atom_site_fract_x
_atom_site_fract_y
_atom_site_fract_z
Cs1 0.000 0.500 0.000
Os1 0.000 0.000 0.500
O1 0.000 0.000 0.000
O2 0.190 0.190 0.500

# 2
# RbZnIr3 (PBE, relaxed)
# Offset from the most stable computed form ... 1670.6 meV per atom
# Energy of formation from the pure elements ... 3.204 eV/atom
# E_tot ... -2.561 eV/atom
data_RbZnIr3
_space_group_name_H-M_alt 'P m -3 m'
_space_group_IT_number 221
_space_group_name_Hall '-P 4 2 3'
_cell_length_a 4.856
_cell_length_b 4.856
_cell_length_c 4.856
_cell_angle_alpha 90.00
_cell_angle_beta 90.00
_cell_angle_gamma 90.00
loop_
_atom_site_label
_atom_site_fract_x
_atom_site_fract_y
_atom_site_fract_z
Rb1 0.000 0.000 0.000
Zn1 0.500 0.500 0.500
Ir1 0.000 0.000 0.500

# 3
# Co5Re (PBE, relaxed)
# Offset from the most stable computed form ... 385.8 meV per atom
# Energy of formation from the pure elements ... 0.416 eV/atom
# E_tot ... -7.581 eV/atom
data_Co5Re
_space_group_name_H-M_alt 'P 6/m m m'
_space_group_IT_number 191
_space_group_name_Hall '-P 6 2'
_cell_length_a 4.5567
_cell_length_b 4.5567
_cell_length_c 4.0358
_cell_angle_alpha 90.00
_cell_angle_beta 90.00
_cell_angle_gamma 120.00
loop_
_atom_site_label
_atom_site_fract_x
_atom_site_fract_y
_atom_site_fract_z
Co1 0.0000 0.5000 0.0000
Co2 0.3333 0.6667 0.5000
Re1 0.0000 0.0000 0.5000

# 4
# PuAlB14 (PBE, relaxed)
# Energy of formation from the pure elements ... -0.131 eV/atom
# E_tot ... -7.104 eV/atom
data_PuAlB14
_space_group_name_H-M_alt 'I m m a'
_space_group_IT_number 74
_space_group_name_Hall '-I 2b 2'
_cell_length_a 5.875
_cell_length_b 10.601
_cell_length_c 8.311
_cell_angle_alpha 90.00
_cell_angle_beta 90.00
_cell_angle_gamma 90.00
loop_
_atom_site_label
_atom_site_fract_x
_atom_site_fract_y
_atom_site_fract_z
Pu1 0.000 0.250 0.143
Al1 0.250 0.250 0.750
B1 0.000 0.088 0.666
B2 0.000 0.139 0.870
B3 0.000 0.167 0.465
B4 0.163 0.060 0.339
B5 0.249 0.079 0.547

# 5
# ZnCd2Ga (PBE, relaxed)
# Energy of formation from the pure elements ... 0.056 eV/atom
# E_tot ... -1.476 eV/atom
data_ZnCd2Ga
_space_group_name_H-M_alt 'R 3 m'
_space_group_IT_number 160
_space_group_name_Hall 'R 3 -2"'
_cell_length_a 3.1102
_cell_length_b 3.1102
_cell_length_c 28.7807
_cell_angle_alpha 90.00
_cell_angle_beta 90.00
_cell_angle_gamma 120.00
loop_
_atom_site_label
_atom_site_fract_x
_atom_site_fract_y
_atom_site_fract_z
Zn1 0.0000 0.0000 0.0000
Cd1 0.0000 0.0000 0.4148
Cd2 0.0000 0.0000 0.8407
Ga1 0.0000 0.0000 0.2616

# 6
# LaZr2Be2 (PBE, relaxed)
# Offset from the most stable computed form ... 0.0 meV per atom
# Energy of formation from the pure elements ... 0.144 eV/atom
# E_tot ... -5.752 eV/atom
data_LaZr2Be2
_space_group_name_H-M_alt 'P 4/m b m'
_space_group_IT_number 127
_space_group_name_Hall '-P 4 2ab'
_cell_length_a 7.599
_cell_length_b 7.599
_cell_length_c 3.308
_cell_angle_alpha 90.00
_cell_angle_beta 90.00
_cell_angle_gamma 90.00
loop_
_atom_site_label
_atom_site_fract_x
_atom_site_fract_y
_atom_site_fract_z
La1 0.000 0.000 0.000
Zr1 0.178 0.322 0.500
Be1 0.102 0.602 0.000

Number 2 is which compound? RbZnIr3

E_tot of number 2 (RbZnIr3)? -2.561 eV/atom